Entry 1:
First-principles (PBE) data for an optimized crystal structure of Tb3Er2Mg3, as listed in the Alexandria database.

Summary:
Fermi-level density of states	1.316	states/eV/atom
E	-3.53	eV per atom
space-group type	Immm (71)
formation enthalpy at 0 K	-0.06	eV per atom

a b c (Å): 11.6438 11.6438 11.6438
angles (deg): 161.54 153.01 32.90
With the nearest neighbours (Å) after each atom.
Fractional positions:
Tb: 0.0000 0.0000 0.0000  8 Mg 3.22-3.30
Tb: 0.3741 0.8741 0.5000  6 Mg 3.30-3.38, 4 Er 3.62-3.65
Tb: 0.6259 0.1259 0.5000  6 Mg 3.30-3.38, 4 Er 3.62-3.65
Er: 0.2353 0.2353 0.0000  2 Mg 3.23, 4 Er 3.36
Er: 0.7647 0.7647 0.0000  2 Mg 3.23, 4 Er 3.36
Mg: 0.1175 0.6175 0.5000  6 Tb 3.22-3.30, 2 Er 3.23
Mg: 0.5000 0.5000 0.0000  8 Tb 3.30-3.38
Mg: 0.8825 0.3825 0.5000  6 Tb 3.22-3.30, 2 Er 3.23

Entry 2:
First-principles (PBE) data for an optimized crystal structure of Al5Se8, as listed in the Alexandria database.

Summary:
Fermi-level density of states	0.517	states/eV/atom
E	-4.34	eV per atom
space-group type	F-43m (216)
ΔE_f (raw)	-0.75	eV per atom

a b c (Å): 7.4406 7.4406 7.4406
angles (deg): 60.00 60.00 60.00
With the nearest neighbours (Å) after each atom.
Fractional positions:
Al: 0.0000 0.0000 0.0000  4 Se 2.44
Al: 0.1555 0.6148 0.6148  6 Se 2.51-2.66
Al: 0.6148 0.1555 0.6148  6 Se 2.51-2.66
Al: 0.6148 0.6148 0.1555  6 Se 2.51-2.66
Al: 0.6148 0.6148 0.6148  6 Se 2.51-2.66
Se: 0.3766 0.3766 0.3766  3 Al 2.51
Se: 0.3766 0.3766 0.8703  3 Al 2.51
Se: 0.3766 0.8703 0.3766  3 Al 2.51
Se: 0.4024 0.8659 0.8659  4 Al 2.44-2.66
Se: 0.8659 0.4024 0.8659  4 Al 2.44-2.66
Se: 0.8659 0.8659 0.4024  4 Al 2.44-2.66
Se: 0.8659 0.8659 0.8659  4 Al 2.44-2.66
Se: 0.8703 0.3766 0.3766  3 Al 2.51

Entry 3:
First-principles (PBE) data for an optimized crystal structure of Ta2PbAu, as listed in the Alexandria database.

Summary:
Fermi-level density of states	0.700	states/eV/atom
E	-7.34	eV per atom
space-group type	Pm (6)
formation enthalpy at 0 K	0.33	eV per atom

a b c (Å): 3.0253 4.2953 6.3806
angles (deg): 90.00 103.15 90.00
With the nearest neighbours (Å) after each atom.
Fractional positions:
Ta: 0.0000 0.0000 0.0000  4 Au 2.93-2.95, 6 Ta 2.94-3.11, 1 Pb 3.07
Ta: 0.4429 0.5000 0.7593  1 Au 2.82, 6 Ta 2.94-3.11, 4 Pb 3.05-3.06
Pb: 0.8246 0.0000 0.5075  2 Au 2.83, 2 Pb 3.03, 5 Ta 3.05-3.07
Au: 0.6081 0.5000 0.2129  5 Ta 2.82-2.95, 2 Pb 2.83, 2 Au 3.03

Entry 4:
First-principles (PBE) data for an optimized crystal structure of AgHg4Se, as listed in the Alexandria database.

Summary:
Fermi-level density of states	0.507	states/eV/atom
E	-0.92	eV per atom
space-group type	F-43m (216)
ΔE_f (raw)	0.34	eV per atom

a b c (Å): 5.9571 5.9571 5.9571
angles (deg): 60.00 60.00 60.00
With the nearest neighbours (Å) after each atom.
Fractional positions:
Ag: 0.0000 0.0000 0.0000  12 Hg 3.49, 4 Se 3.65
Hg: 0.1255 0.6248 0.6248  6 Hg 2.97-2.98
Hg: 0.6248 0.1255 0.6248  6 Hg 2.97-2.98
Hg: 0.6248 0.6248 0.1255  6 Hg 2.97-2.98
Hg: 0.6248 0.6248 0.6248  6 Hg 2.97-2.98
Se: 0.2500 0.2500 0.2500  12 Hg 3.49, 4 Ag 3.65

Entry 5:
First-principles (PBE) data for an optimized crystal structure of Li2LaPd4Pb, as listed in the Alexandria database.

Summary:
Fermi-level density of states	0.564	states/eV/atom
E	-4.64	eV per atom
space-group type	R-3m (166)
formation enthalpy at 0 K	-0.49	eV per atom

a b c (Å): 8.4537 8.4537 8.4537
angles (deg): 31.79 31.79 31.79
With the nearest neighbours (Å) after each atom.
Fractional positions:
Li: 0.2392 0.2392 0.2392  7 Pd 2.75-2.85
Li: 0.7608 0.7608 0.7608  7 Pd 2.75-2.85
La: 0.0000 0.0000 0.0000  8 Pd 2.92-2.97
Pd: 0.1215 0.1215 0.1215  4 Li 2.75-2.83, 3 Pb 2.89, 1 La 2.92
Pd: 0.3867 0.3867 0.3867  1 Pb 2.73, 3 Li 2.85, 3 La 2.97
Pd: 0.6133 0.6133 0.6133  1 Pb 2.73, 3 Li 2.85, 3 La 2.97
Pd: 0.8785 0.8785 0.8785  4 Li 2.75-2.83, 3 Pb 2.89, 1 La 2.92
Pb: 0.5000 0.5000 0.5000  8 Pd 2.73-2.89

Entry 6:
First-principles (PBE) data for an optimized crystal structure of Nd7Tm2Th2, as listed in the Alexandria database.

Summary:
Fermi-level density of states	1.344	states/eV/atom
E	-5.01	eV per atom
space-group type	C2/m (12)
energy above the most stable polymorph in this dataset	12	meV per atom
formation enthalpy at 0 K	0.18	eV per atom

a b c (Å): 8.1935 8.1935 6.0739
angles (deg): 105.79 105.79 89.46
With the nearest neighbours (Å) after each atom.
Fractional positions:
Nd: 0.0000 0.0000 0.0000  4 Nd 3.27, 2 Tm 3.59
Nd: 0.0383 0.5907 0.8206  2 Nd 3.14-3.27, 2 Th 3.42-3.50, 1 Tm 3.45
Nd: 0.4093 0.9617 0.1794  2 Nd 3.14-3.27, 2 Th 3.42-3.50, 1 Tm 3.45
Nd: 0.4335 0.4335 0.2036  2 Nd 3.33-3.38, 2 Tm 3.53-3.70, 2 Th 3.71
Nd: 0.5665 0.5665 0.7964  2 Nd 3.33-3.38, 2 Tm 3.53-3.70, 2 Th 3.71
Nd: 0.5907 0.0383 0.8206  2 Nd 3.14-3.27, 2 Th 3.42-3.50, 1 Tm 3.45
Nd: 0.9617 0.4093 0.1794  2 Nd 3.14-3.27, 2 Th 3.42-3.50, 1 Tm 3.45
Tm: 0.2243 0.2243 0.6033  7 Nd 3.45-3.70, 2 Th 3.46
Tm: 0.7757 0.7757 0.3967  7 Nd 3.45-3.70, 2 Th 3.46
Th: 0.2129 0.7871 0.5000  6 Nd 3.42-3.71, 2 Tm 3.46
Th: 0.7871 0.2129 0.5000  6 Nd 3.42-3.71, 2 Tm 3.46

Entry 7:
First-principles (PBE) data for an optimized crystal structure of Np2CrFe3B12, as listed in the Alexandria database.

Summary:
Fermi-level density of states	0.681	states/eV/atom
E	-7.71	eV per atom
space-group type	R-3m (166)
formation enthalpy at 0 K	0.13	eV per atom

a b c (Å): 8.0820 8.0820 8.0820
angles (deg): 38.44 38.44 38.44
With the nearest neighbours (Å) after each atom.
Fractional positions:
Np: 0.1441 0.1441 0.1441  15 B 2.63-2.93
Np: 0.8559 0.8559 0.8559  15 B 2.63-2.93
Cr: 0.5000 0.5000 0.5000  6 B 2.02
Fe: 0.0000 0.5000 0.5000  6 B 2.10-2.11
Fe: 0.5000 0.0000 0.5000  6 B 2.10-2.11
Fe: 0.5000 0.5000 0.0000  6 B 2.10-2.11
B: 0.1528 0.1528 0.4801  4 B 1.74
B: 0.1528 0.4801 0.1528  4 B 1.74
B: 0.1801 0.5484 0.5484  2 B 1.74
B: 0.4516 0.4516 0.8199  2 B 1.74
B: 0.4516 0.8199 0.4516  2 B 1.74
B: 0.4801 0.1528 0.1528  4 B 1.74
B: 0.5199 0.8472 0.8472  4 B 1.74
B: 0.5484 0.1801 0.5484  2 B 1.74
B: 0.5484 0.5484 0.1801  2 B 1.74
B: 0.8199 0.4516 0.4516  2 B 1.74
B: 0.8472 0.5199 0.8472  4 B 1.74
B: 0.8472 0.8472 0.5199  4 B 1.74

Entry 8:
First-principles (PBE) data for an optimized crystal structure of CeSm2Ga3Pt4, as listed in the Alexandria database.

Summary:
Fermi-level density of states	0.802	states/eV/atom
E	-5.78	eV per atom
space-group type	P-4m2 (115)
formation enthalpy at 0 K	-0.92	eV per atom

a b c (Å): 4.3423 4.3423 11.1167
angles (deg): 90.00 90.00 90.00
With the nearest neighbours (Å) after each atom.
Fractional positions:
Ce: 0.0000 0.0000 0.0000  4 Pt 2.78, 4 Ga 3.07
Sm: 0.0000 0.5000 0.7205  4 Ga 3.26, 8 Pt 3.27-3.36
Sm: 0.5000 0.0000 0.2795  4 Ga 3.26, 8 Pt 3.27-3.36
Ga: 0.0000 0.5000 0.3789  5 Pt 2.48-2.55
Ga: 0.5000 0.0000 0.6211  5 Pt 2.48-2.55
Ga: 0.5000 0.5000 0.0000  4 Pt 2.78, 4 Ce 3.07
Pt: 0.0000 0.0000 0.5000  4 Ga 2.55
Pt: 0.0000 0.5000 0.1561  1 Ga 2.48
Pt: 0.5000 0.0000 0.8439  1 Ga 2.48
Pt: 0.5000 0.5000 0.5000  4 Ga 2.55

Entry 9:
First-principles (PBE) data for an optimized crystal structure of ZrTi2Fe2, as listed in the Alexandria database.

Summary:
Fermi-level density of states	1.159	states/eV/atom
E	-8.34	eV per atom
space-group type	P4/mbm (127)
energy above the most stable polymorph in this dataset	4	meV per atom
formation enthalpy at 0 K	-0.09	eV per atom

a b c (Å): 7.1371 7.1371 2.9898
angles (deg): 90.00 90.00 90.00
With the nearest neighbours (Å) after each atom.
Fractional positions:
Zr: 0.0000 0.0000 0.0000  4 Fe 2.76, 2 Zr 2.99
Zr: 0.5000 0.5000 0.0000  4 Fe 2.76, 2 Zr 2.99
Ti: 0.1472 0.3528 0.5000  6 Fe 2.54-2.62
Ti: 0.3528 0.8528 0.5000  6 Fe 2.54-2.62
Ti: 0.6472 0.1472 0.5000  6 Fe 2.54-2.62
Ti: 0.8528 0.6472 0.5000  6 Fe 2.54-2.62
Fe: 0.1395 0.6395 0.0000  6 Ti 2.54-2.62, 2 Zr 2.76, 1 Fe 2.82
Fe: 0.3605 0.1395 0.0000  6 Ti 2.54-2.62, 2 Zr 2.76, 1 Fe 2.82
Fe: 0.6395 0.8605 0.0000  6 Ti 2.54-2.62, 2 Zr 2.76, 1 Fe 2.82
Fe: 0.8605 0.3605 0.0000  6 Ti 2.54-2.62, 2 Zr 2.76, 1 Fe 2.82

Entry 10:
First-principles (PBE) data for an optimized crystal structure of MnAg3S, as listed in the Alexandria database.

Summary:
Fermi-level density of states	0.798	states/eV/atom
E	-3.28	eV per atom
space-group type	Pm-3m (221)
energy above the most stable polymorph in this dataset	416	meV per atom
ΔE_f (raw)	1.09	eV per atom

a b c (Å): 4.9273 4.9273 4.9273
angles (deg): 90.00 90.00 90.00
With the nearest neighbours (Å) after each atom.
Fractional positions:
Mn: 0.0000 0.0000 0.0000  6 Ag 2.46
Ag: 0.0000 0.0000 0.5000  2 Mn 2.46
Ag: 0.0000 0.5000 0.0000  2 Mn 2.46
Ag: 0.5000 0.0000 0.0000  2 Mn 2.46
S: 0.5000 0.5000 0.5000  12 Ag 3.48

Entry 11:
First-principles (PBE) data for an optimized crystal structure of CeAl2Ni9, as listed in the Alexandria database.

Summary:
Fermi-level density of states	1.410	states/eV/atom
E	-5.82	eV per atom
space-group type	P4/mbm (127)
energy above the most stable polymorph in this dataset	0	meV per atom
formation enthalpy at 0 K	-0.37	eV per atom

a b c (Å): 8.0636 8.0636 4.7362
angles (deg): 90.00 90.00 90.00
With the nearest neighbours (Å) after each atom.
Fractional positions:
Ce: 0.0000 0.0000 0.0000  16 Ni 2.95-3.18, 4 Al 3.22
Ce: 0.5000 0.5000 0.0000  16 Ni 2.95-3.18, 4 Al 3.22
Al: 0.1193 0.3807 0.0000  12 Ni 2.58-2.78, 1 Al 2.72
Al: 0.3807 0.8807 0.0000  12 Ni 2.58-2.78, 1 Al 2.72
Al: 0.6193 0.1193 0.0000  12 Ni 2.58-2.78, 1 Al 2.72
Al: 0.8807 0.6193 0.0000  12 Ni 2.58-2.78, 1 Al 2.72
Ni: 0.0000 0.5000 0.5000  8 Ni 2.37-2.40
Ni: 0.0651 0.2090 0.5000  8 Ni 2.40-2.58
Ni: 0.1771 0.6771 0.2395  7 Ni 2.27-2.49
Ni: 0.1771 0.6771 0.7605  7 Ni 2.27-2.49
Ni: 0.2090 0.9349 0.5000  8 Ni 2.40-2.58
Ni: 0.2910 0.4349 0.5000  8 Ni 2.40-2.58
Ni: 0.3229 0.1771 0.2395  7 Ni 2.27-2.49
Ni: 0.3229 0.1771 0.7605  7 Ni 2.27-2.49
Ni: 0.4349 0.7090 0.5000  8 Ni 2.40-2.58
Ni: 0.5000 0.0000 0.5000  8 Ni 2.37-2.40
Ni: 0.5651 0.2910 0.5000  8 Ni 2.40-2.58
Ni: 0.6771 0.8229 0.2395  7 Ni 2.27-2.49
Ni: 0.6771 0.8229 0.7605  7 Ni 2.27-2.49
Ni: 0.7090 0.5651 0.5000  8 Ni 2.40-2.58
Ni: 0.7910 0.0651 0.5000  8 Ni 2.40-2.58
Ni: 0.8229 0.3229 0.2395  7 Ni 2.27-2.49
Ni: 0.8229 0.3229 0.7605  7 Ni 2.27-2.49
Ni: 0.9349 0.7910 0.5000  8 Ni 2.40-2.58

What is the formula in the third record? Ta2PbAu

Among the records above, which one has the lowest Fermi-level density of states? AgHg4Se

E of number 9 (ZrTi2Fe2)? -8.34 eV per atom

Look up the E of the eighth one. -5.78 eV per atom